# HfFeCo2H, relaxed, DFT PBE-GGA
data_HfFeCo2H
_chemical_formula_sum 'Hf1 Fe1 Co2 H1'
_symmetry_space_group_name_H-M 'P 4/m m m'
_symmetry_Int_Tables_number 123
_symmetry_space_group_name_Hall '-P 4 2'
_cell_length_a 3.6945
_cell_length_b 3.6945
_cell_length_c 3.9765
_cell_angle_alpha 90.00
_cell_angle_beta 90.00
_cell_angle_gamma 90.00
loop_
_atom_site_label
_atom_site_fract_x
_atom_site_fract_y
_atom_site_fract_z
_atom_site_occupancy
Hf1 0.0000 0.0000 0.0000 1
Fe1 0.5000 0.5000 0.0000 1
Co1 0.0000 0.5000 0.5000 1
H1 0.0000 0.0000 0.5000 1
# **Energy above the most stable polymorph in this dataset**: 65 meV/atom

---

# HfFe2CoH, relaxed, DFT PBE-GGA
data_HfFe2CoH
_chemical_formula_sum 'Hf1 Fe2 Co1 H1'
_symmetry_space_group_name_H-M 'P 4/m m m'
_symmetry_Int_Tables_number 123
_symmetry_space_group_name_Hall '-P 4 2'
_cell_length_a 3.7322
_cell_length_b 3.7322
_cell_length_c 3.9022
_cell_angle_alpha 90.00
_cell_angle_beta 90.00
_cell_angle_gamma 90.00
loop_
_atom_site_label
_atom_site_fract_x
_atom_site_fract_y
_atom_site_fract_z
_atom_site_occupancy
Hf1 0.0000 0.0000 0.0000 1
Fe1 0.0000 0.5000 0.5000 1
Co1 0.5000 0.5000 0.0000 1
H1 0.5000 0.5000 0.5000 1
# **Energy above the most stable polymorph in this dataset**: 0 meV/atom

---

# HfFeCo2H, relaxed, DFT PBE-GGA
data_HfFeCo2H
_chemical_formula_sum 'Hf1 Fe1 Co2 H1'
_symmetry_space_group_name_H-M 'P 4/m m m'
_symmetry_Int_Tables_number 123
_symmetry_space_group_name_Hall '-P 4 2'
_cell_length_a 3.7786
_cell_length_b 3.7786
_cell_length_c 3.7368
_cell_angle_alpha 90.00
_cell_angle_beta 90.00
_cell_angle_gamma 90.00
loop_
_atom_site_label
_atom_site_fract_x
_atom_site_fract_y
_atom_site_fract_z
_atom_site_occupancy
Hf1 0.0000 0.0000 0.0000 1
Fe1 0.5000 0.5000 0.0000 1
Co1 0.0000 0.5000 0.5000 1
H1 0.5000 0.5000 0.5000 1
# **Energy above the most stable polymorph in this dataset**: 0 meV/atom

---

# Hf2FeCoH, relaxed, DFT PBE-GGA
data_Hf2FeCoH
_chemical_formula_sum 'Hf2 Fe1 Co1 H1'
_symmetry_space_group_name_H-M 'P 4/m m m'
_symmetry_Int_Tables_number 123
_symmetry_space_group_name_Hall '-P 4 2'
_cell_length_a 4.4289
_cell_length_b 4.4289
_cell_length_c 3.3126
_cell_angle_alpha 90.00
_cell_angle_beta 90.00
_cell_angle_gamma 90.00
loop_
_atom_site_label
_atom_site_fract_x
_atom_site_fract_y
_atom_site_fract_z
_atom_site_occupancy
Hf1 0.0000 0.5000 0.0000 1
Fe1 0.0000 0.0000 0.5000 1
Co1 0.5000 0.5000 0.5000 1
H1 0.5000 0.5000 0.0000 1
# **Energy above the most stable polymorph in this dataset**: 0 meV/atom

---

# Hf2FeCoH, relaxed, DFT PBE-GGA
data_Hf2FeCoH
_chemical_formula_sum 'Hf2 Fe1 Co1 H1'
_symmetry_space_group_name_H-M 'P 4/m m m'
_symmetry_Int_Tables_number 123
_symmetry_space_group_name_Hall '-P 4 2'
_cell_length_a 4.4315
_cell_length_b 4.4315
_cell_length_c 3.3080
_cell_angle_alpha 90.00
_cell_angle_beta 90.00
_cell_angle_gamma 90.00
loop_
_atom_site_label
_atom_site_fract_x
_atom_site_fract_y
_atom_site_fract_z
_atom_site_occupancy
Hf1 0.0000 0.5000 0.0000 1
Fe1 0.0000 0.0000 0.5000 1
Co1 0.5000 0.5000 0.5000 1
H1 0.0000 0.0000 0.0000 1
# **Energy above the most stable polymorph in this dataset**: 8 meV/atom

---

# HfFeCo2H, relaxed, DFT PBE-GGA
data_HfFeCo2H
_chemical_formula_sum 'Hf1 Fe1 Co2 H1'
_symmetry_space_group_name_H-M 'P 4/m m m'
_symmetry_Int_Tables_number 123
_symmetry_space_group_name_Hall '-P 4 2'
_cell_length_a 4.6187
_cell_length_b 4.6187
_cell_length_c 3.3389
_cell_angle_alpha 90.00
_cell_angle_beta 90.00
_cell_angle_gamma 90.00
loop_
_atom_site_label
_atom_site_fract_x
_atom_site_fract_y
_atom_site_fract_z
_atom_site_occupancy
Hf1 0.0000 0.0000 0.0000 1
Fe1 0.5000 0.5000 0.5000 1
Co1 0.0000 0.5000 0.0000 1
H1 0.0000 0.0000 0.5000 1
# **Energy above the most stable polymorph in this dataset**: 1112 meV/atom

---

# InFe2CoH, relaxed, DFT PBE-GGA
data_InFe2CoH
_chemical_formula_sum 'In1 Fe2 Co1 H1'
_symmetry_space_group_name_H-M 'P 4/m m m'
_symmetry_Int_Tables_number 123
_symmetry_space_group_name_Hall '-P 4 2'
_cell_length_a 3.7596
_cell_length_b 3.7596
_cell_length_c 3.9131
_cell_angle_alpha 90.00
_cell_angle_beta 90.00
_cell_angle_gamma 90.00
loop_
_atom_site_label
_atom_site_fract_x
_atom_site_fract_y
_atom_site_fract_z
_atom_site_occupancy
In1 0.0000 0.0000 0.0000 1
Fe1 0.0000 0.5000 0.5000 1
Co1 0.5000 0.5000 0.0000 1
H1 0.5000 0.5000 0.5000 1
# **Total DFT energy (no corrections)**: -29.7 eV for the cell shown

---

# Fe2CoHIr, relaxed, DFT PBE-GGA
data_Fe2CoHIr
_chemical_formula_sum 'Fe2 Co1 H1 Ir1'
_symmetry_space_group_name_H-M 'P 4/m m m'
_symmetry_Int_Tables_number 123
_symmetry_space_group_name_Hall '-P 4 2'
_cell_length_a 3.6292
_cell_length_b 3.6292
_cell_length_c 3.6086
_cell_angle_alpha 90.00
_cell_angle_beta 90.00
_cell_angle_gamma 90.00
loop_
_atom_site_label
_atom_site_fract_x
_atom_site_fract_y
_atom_site_fract_z
_atom_site_occupancy
Fe1 0.0000 0.5000 0.0000 1
Co1 0.0000 0.0000 0.5000 1
H1 0.0000 0.0000 0.0000 1
Ir1 0.5000 0.5000 0.5000 1
# **Energy above the most stable polymorph in this dataset**: 17 meV/atom

---

# Fe2CoHIr, relaxed, DFT PBE-GGA
data_Fe2CoHIr
_chemical_formula_sum 'Fe2 Co1 H1 Ir1'
_symmetry_space_group_name_H-M 'P 4/m m m'
_symmetry_Int_Tables_number 123
_symmetry_space_group_name_Hall '-P 4 2'
_cell_length_a 3.7506
_cell_length_b 3.7506
_cell_length_c 3.7333
_cell_angle_alpha 90.00
_cell_angle_beta 90.00
_cell_angle_gamma 90.00
loop_
_atom_site_label
_atom_site_fract_x
_atom_site_fract_y
_atom_site_fract_z
_atom_site_occupancy
Fe1 0.0000 0.5000 0.0000 1
Co1 0.0000 0.0000 0.5000 1
H1 0.5000 0.5000 0.0000 1
Ir1 0.5000 0.5000 0.5000 1
# **Energy above the most stable polymorph in this dataset**: 0 meV/atom

---

# LaFeCo2H, relaxed, DFT PBE-GGA
data_LaFeCo2H
_chemical_formula_sum 'La1 Fe1 Co2 H1'
_symmetry_space_group_name_H-M 'P 4/m m m'
_symmetry_Int_Tables_number 123
_symmetry_space_group_name_Hall '-P 4 2'
_cell_length_a 4.3227
_cell_length_b 4.3227
_cell_length_c 3.8805
_cell_angle_alpha 90.00
_cell_angle_beta 90.00
_cell_angle_gamma 90.00
loop_
_atom_site_label
_atom_site_fract_x
_atom_site_fract_y
_atom_site_fract_z
_atom_site_occupancy
La1 0.0000 0.0000 0.0000 1
Fe1 0.5000 0.5000 0.5000 1
Co1 0.0000 0.5000 0.5000 1
H1 0.5000 0.5000 0.0000 1
# **Total DFT energy (no corrections)**: -28.8 eV for the cell shown

---

# MgFeCo2H, relaxed, DFT PBE-GGA
data_MgFeCo2H
_chemical_formula_sum 'Mg1 Fe1 Co2 H1'
_symmetry_space_group_name_H-M 'P 4/m m m'
_symmetry_Int_Tables_number 123
_symmetry_space_group_name_Hall '-P 4 2'
_cell_length_a 3.7633
_cell_length_b 3.7633
_cell_length_c 3.6345
_cell_angle_alpha 90.00
_cell_angle_beta 90.00
_cell_angle_gamma 90.00
loop_
_atom_site_label
_atom_site_fract_x
_atom_site_fract_y
_atom_site_fract_z
_atom_site_occupancy
Mg1 0.0000 0.0000 0.0000 1
Fe1 0.5000 0.5000 0.0000 1
Co1 0.0000 0.5000 0.5000 1
H1 0.5000 0.5000 0.5000 1
# **Total DFT energy (no corrections)**: -27.3 eV for the cell shown

---

# MnFe2CoH, relaxed, DFT PBE-GGA
data_MnFe2CoH
_chemical_formula_sum 'Mn1 Fe2 Co1 H1'
_symmetry_space_group_name_H-M 'P 4/m m m'
_symmetry_Int_Tables_number 123
_symmetry_space_group_name_Hall '-P 4 2'
_cell_length_a 3.5366
_cell_length_b 3.5366
_cell_length_c 3.4797
_cell_angle_alpha 90.00
_cell_angle_beta 90.00
_cell_angle_gamma 90.00
loop_
_atom_site_label
_atom_site_fract_x
_atom_site_fract_y
_atom_site_fract_z
_atom_site_occupancy
Mn1 0.0000 0.0000 0.0000 1
Fe1 0.0000 0.5000 0.5000 1
Co1 0.5000 0.5000 0.0000 1
H1 0.5000 0.5000 0.5000 1
# **Energy above the most stable polymorph in this dataset**: 69 meV/atom

---

# Mn2FeCoH4, relaxed, DFT PBE-GGA
data_Mn2FeCoH4
_chemical_formula_sum 'Mn8 Fe4 Co4 H16'
_symmetry_space_group_name_H-M 'I m m a'
_symmetry_Int_Tables_number 74
_symmetry_space_group_name_Hall '-I 2b 2'
_cell_length_a 5.2274
_cell_length_b 5.2670
_cell_length_c 7.5639
_cell_angle_alpha 90.00
_cell_angle_beta 90.00
_cell_angle_gamma 90.00
loop_
_atom_site_label
_atom_site_fract_x
_atom_site_fract_y
_atom_site_fract_z
_atom_site_occupancy
Mn1 0.0000 0.0000 0.0000 1
Mn2 0.2500 0.2500 0.2500 1
Fe1 0.0000 0.0000 0.5000 1
Co1 0.2500 0.2500 0.7500 1
H1 0.0000 0.0062 0.7439 1
H2 0.2439 0.2500 0.5023 1
# **Total DFT energy (no corrections)**: -189.5 eV for the cell shown

---

# MnFe2CoH, relaxed, DFT PBE-GGA
data_MnFe2CoH
_chemical_formula_sum 'Mn1 Fe2 Co1 H1'
_symmetry_space_group_name_H-M 'P 4/m m m'
_symmetry_Int_Tables_number 123
_symmetry_space_group_name_Hall '-P 4 2'
_cell_length_a 3.5532
_cell_length_b 3.5532
_cell_length_c 3.6979
_cell_angle_alpha 90.00
_cell_angle_beta 90.00
_cell_angle_gamma 90.00
loop_
_atom_site_label
_atom_site_fract_x
_atom_site_fract_y
_atom_site_fract_z
_atom_site_occupancy
Mn1 0.0000 0.0000 0.0000 1
Fe1 0.0000 0.5000 0.5000 1
Co1 0.5000 0.5000 0.0000 1
H1 0.0000 0.0000 0.5000 1
# **Energy above the most stable polymorph in this dataset**: 0 meV/atom

---

# MnFeCo2H, relaxed, DFT PBE-GGA
data_MnFeCo2H
_chemical_formula_sum 'Mn1 Fe1 Co2 H1'
_symmetry_space_group_name_H-M 'P 4/m m m'
_symmetry_Int_Tables_number 123
_symmetry_space_group_name_Hall '-P 4 2'
_cell_length_a 3.5035
_cell_length_b 3.5035
_cell_length_c 3.6271
_cell_angle_alpha 90.00
_cell_angle_beta 90.00
_cell_angle_gamma 90.00
loop_
_atom_site_label
_atom_site_fract_x
_atom_site_fract_y
_atom_site_fract_z
_atom_site_occupancy
Mn1 0.0000 0.0000 0.0000 1
Fe1 0.5000 0.5000 0.0000 1
Co1 0.0000 0.5000 0.5000 1
H1 0.0000 0.0000 0.5000 1
# **Energy above the most stable polymorph in this dataset**: 0 meV/atom

---

# MnFeCo2H, relaxed, DFT PBE-GGA
data_MnFeCo2H
_chemical_formula_sum 'Mn1 Fe1 Co2 H1'
_symmetry_space_group_name_H-M 'P 4/m m m'
_symmetry_Int_Tables_number 123
_symmetry_space_group_name_Hall '-P 4 2'
_cell_length_a 3.5171
_cell_length_b 3.5171
_cell_length_c 3.5891
_cell_angle_alpha 90.00
_cell_angle_beta 90.00
_cell_angle_gamma 90.00
loop_
_atom_site_label
_atom_site_fract_x
_atom_site_fract_y
_atom_site_fract_z
_atom_site_occupancy
Mn1 0.0000 0.0000 0.0000 1
Fe1 0.5000 0.5000 0.0000 1
Co1 0.0000 0.5000 0.5000 1
H1 0.5000 0.5000 0.5000 1
# **Energy above the most stable polymorph in this dataset**: 22 meV/atom

---

# Fe2CoMoH, relaxed, DFT PBE-GGA
data_Fe2CoMoH
_chemical_formula_sum 'Fe2 Co1 Mo1 H1'
_symmetry_space_group_name_H-M 'P 4/m m m'
_symmetry_Int_Tables_number 123
_symmetry_space_group_name_Hall '-P 4 2'
_cell_length_a 3.5903
_cell_length_b 3.5903
_cell_length_c 3.8015
_cell_angle_alpha 90.00
_cell_angle_beta 90.00
_cell_angle_gamma 90.00
loop_
_atom_site_label
_atom_site_fract_x
_atom_site_fract_y
_atom_site_fract_z
_atom_site_occupancy
Fe1 0.0000 0.5000 0.0000 1
Co1 0.0000 0.0000 0.5000 1
Mo1 0.5000 0.5000 0.5000 1
H1 0.5000 0.5000 0.0000 1
# **Energy above the most stable polymorph in this dataset**: 87 meV/atom

---

# FeCo2MoH, relaxed, DFT PBE-GGA
data_FeCo2MoH
_chemical_formula_sum 'Fe1 Co2 Mo1 H1'
_symmetry_space_group_name_H-M 'P 4/m m m'
_symmetry_Int_Tables_number 123
_symmetry_space_group_name_Hall '-P 4 2'
_cell_length_a 3.5773
_cell_length_b 3.5773
_cell_length_c 3.8572
_cell_angle_alpha 90.00
_cell_angle_beta 90.00
_cell_angle_gamma 90.00
loop_
_atom_site_label
_atom_site_fract_x
_atom_site_fract_y
_atom_site_fract_z
_atom_site_occupancy
Fe1 0.0000 0.0000 0.0000 1
Co1 0.0000 0.5000 0.5000 1
Mo1 0.5000 0.5000 0.0000 1
H1 0.5000 0.5000 0.5000 1
# **Energy above the most stable polymorph in this dataset**: 69 meV/atom

---

# Fe2CoMoH, relaxed, DFT PBE-GGA
data_Fe2CoMoH
_chemical_formula_sum 'Fe2 Co1 Mo1 H1'
_symmetry_space_group_name_H-M 'P 4/m m m'
_symmetry_Int_Tables_number 123
_symmetry_space_group_name_Hall '-P 4 2'
_cell_length_a 3.6629
_cell_length_b 3.6629
_cell_length_c 3.5761
_cell_angle_alpha 90.00
_cell_angle_beta 90.00
_cell_angle_gamma 90.00
loop_
_atom_site_label
_atom_site_fract_x
_atom_site_fract_y
_atom_site_fract_z
_atom_site_occupancy
Fe1 0.0000 0.5000 0.0000 1
Co1 0.0000 0.0000 0.5000 1
Mo1 0.5000 0.5000 0.5000 1
H1 0.0000 0.0000 0.0000 1
# **Energy above the most stable polymorph in this dataset**: 0 meV/atom

---

# FeCo2MoH, relaxed, DFT PBE-GGA
data_FeCo2MoH
_chemical_formula_sum 'Fe1 Co2 Mo1 H1'
_symmetry_space_group_name_H-M 'P 4/m m m'
_symmetry_Int_Tables_number 123
_symmetry_space_group_name_Hall '-P 4 2'
_cell_length_a 3.6047
_cell_length_b 3.6047
_cell_length_c 3.7015
_cell_angle_alpha 90.00
_cell_angle_beta 90.00
_cell_angle_gamma 90.00
loop_
_atom_site_label
_atom_site_fract_x
_atom_site_fract_y
_atom_site_fract_z
_atom_site_occupancy
Fe1 0.0000 0.0000 0.0000 1
Co1 0.0000 0.5000 0.5000 1
Mo1 0.5000 0.5000 0.0000 1
H1 0.0000 0.0000 0.5000 1
# **Energy above the most stable polymorph in this dataset**: 0 meV/atom

---

Number 1: size of the total moment 2.8 μB per cell. Number 2: size of the total moment 3.8 μB per cell. Number 3: size of the total moment 2.7 μB per cell. Number 4: size of the total moment 0.9 μB per cell. Number 5: size of the total moment 1.0 μB per cell. Number 6: size of the total moment 4.8 μB per cell. Number 7: size of the total moment 5.2 μB per cell. Number 8: size of the total moment 0.0 μB per cell. Number 9: size of the total moment 7.4 μB per cell. Number 10: size of the total moment 0.0 μB per cell. Number 11: size of the total moment 4.8 μB per cell. Number 12: size of the total moment 0.0 μB per cell. Number 13: size of the total moment 13.5 μB per cell. Number 14: size of the total moment 1.1 μB per cell. Number 15: size of the total moment 2.5 μB per cell. Number 16: size of the total moment 2.2 μB per cell. Number 17: size of the total moment 0.7 μB per cell. Number 18: size of the total moment 1.2 μB per cell. Number 19: size of the total moment 0.0 μB per cell. Number 20: size of the total moment 0.8 μB per cell.